# GGA-PBE NaIr3Pb, optimized geometry
data_NaIr3Pb
_space_group_name_H-M_alt 'P 1'
_space_group_IT_number 1
_cell_length_a 4.589
_cell_length_b 4.589
_cell_length_c 4.589
_cell_angle_alpha 90.00
_cell_angle_beta 90.00
_cell_angle_gamma 90.00
loop_
_space_group_symop_operation_xyz
'x,y,z'
loop_
_atom_site_label
_atom_site_type_symbol
_atom_site_fract_x
_atom_site_fract_y
_atom_site_fract_z
Na1 Na 0.000 0.000 0.000
Pb1 Pb 0.500 0.500 0.500
Ir1 Ir 0.500 0.000 0.000
Ir2 Ir 0.000 0.000 0.500
Ir3 Ir 0.000 0.500 0.000
# Distance to the lowest polymorph of the same formula = 94 meV/atom
# Final energy = -21.81 eV for the cell shown

# GGA-PBE NaIrPb2, optimized geometry
data_NaIrPb2
_space_group_name_H-M_alt 'P 1'
_space_group_IT_number 1
_cell_length_a 8.649
_cell_length_b 8.649
_cell_length_c 6.816
_cell_angle_alpha 50.62
_cell_angle_beta 50.62
_cell_angle_gamma 90.00
loop_
_space_group_symop_operation_xyz
'x,y,z'
loop_
_atom_site_label
_atom_site_type_symbol
_atom_site_fract_x
_atom_site_fract_y
_atom_site_fract_z
Na1 Na 0.500 0.500 0.000
Na2 Na 0.250 0.750 0.500
Pb1 Pb 0.709 0.125 0.250
Pb2 Pb 0.875 0.959 0.750
Pb3 Pb 0.041 0.625 0.250
Pb4 Pb 0.375 0.291 0.750
Ir1 Ir 0.750 0.250 0.500
Ir2 Ir 0.000 0.000 0.000
# Final energy = -33.44 eV for the cell shown

no.,energy of formation (eV per atom),total magnetic moment (μB/atom)
1,1.96,0.000
2,0.22,0.000